No. 1
NaSiPt | PBE | relaxed

Summary:
Calculated volume = 18.5 A^3/atom
Density = 7.368 g cm⁻³
Crystal system = cubic

extended XYZ file:
```
12
Lattice="6.054 0.000 0.000 0.000 6.054 0.000 0.000 0.000 6.054" Properties=species:S:1:pos:R:3 pbc="T T T"
Na 0.000 0.000 0.000
Na 0.000 3.027 3.027
Na 3.027 0.000 3.027
Na 3.027 3.027 0.000
Si 0.000 0.000 3.027
Si 0.000 3.027 0.000
Si 3.027 0.000 0.000
Si 3.027 3.027 3.027
Pt 1.514 1.514 1.514
Pt 1.514 4.541 4.541
Pt 4.541 1.514 4.541
Pt 4.541 4.541 1.514
```


No. 2
NaSi5Pt3 | PBE | relaxed

Summary:
Calculated volume = 18.5 A^3/atom
Density = 7.470 g cm⁻³
Crystal system = hexagonal

extended XYZ file:
```
9
Lattice="5.698 0.000 0.000 -2.849 4.935 0.000 0.000 0.000 5.918" Properties=species:S:1:pos:R:3 pbc="T T T"
Na 0.000 0.000 0.000
Si 0.000 0.000 2.959
Si 0.000 3.290 1.158
Si 0.000 3.290 4.761
Si 2.849 1.645 1.158
Si 2.849 1.645 4.761
Pt -1.425 2.467 2.959
Pt 2.849 0.000 2.959
Pt 1.425 2.467 2.959
```


No. 3
Na2SiPt2 | PBE | relaxed

Summary:
Calculated volume = 19.1 A^3/atom
Density = 8.062 g cm⁻³
Crystal system = tetragonal

extended XYZ file:
```
10
Lattice="6.182 0.000 0.000 0.000 6.182 0.000 0.000 0.000 5.004" Properties=species:S:1:pos:R:3 pbc="T T T"
Na 1.044 2.047 0.000
Na 2.047 5.138 0.000
Na 4.135 1.044 0.000
Na 5.138 4.135 0.000
Si 0.000 0.000 2.502
Si 3.091 3.091 2.502
Pt 0.939 4.030 2.502
Pt 2.152 0.939 2.502
Pt 4.030 5.243 2.502
Pt 5.243 2.152 2.502
```


No. 4
Na4SiSnPt2 | PBE | relaxed

Summary:
Calculated volume = 18.2 A^3/atom
Density = 7.169 g cm⁻³
Crystal system = tetragonal

extended XYZ file:
```
8
Lattice="4.638 0.000 0.000 0.000 4.638 0.000 0.000 0.000 6.773" Properties=species:S:1:pos:R:3 pbc="T T T"
Na 0.000 0.000 0.000
Na 0.000 2.319 4.967
Na 2.319 0.000 1.806
Na 2.319 2.319 3.387
Si 0.000 0.000 3.387
Sn 2.319 2.319 0.000
Pt 0.000 2.319 1.840
Pt 2.319 0.000 4.933
```


No. 5
NaTlSiPt | PBE | relaxed

Summary:
Polymorph energy (0 for the lowest one) = 0.000 kcal/mol of atoms
Calculated volume = 18.6 A^3/atom
Density = 10.034 g cm⁻³
Crystal system = cubic

extended XYZ file:
```
16
Lattice="6.681 0.000 0.000 0.000 6.681 0.000 0.000 0.000 6.681" Properties=species:S:1:pos:R:3 pbc="T T T"
Na 0.000 0.000 0.000
Na 0.000 3.341 3.341
Na 3.341 0.000 3.341
Na 3.341 3.341 0.000
Tl 1.670 1.670 1.670
Tl 1.670 5.011 5.011
Tl 5.011 1.670 5.011
Tl 5.011 5.011 1.670
Si 1.670 1.670 5.011
Si 1.670 5.011 1.670
Si 5.011 1.670 1.670
Si 5.011 5.011 5.011
Pt 0.000 0.000 3.341
Pt 0.000 3.341 0.000
Pt 3.341 0.000 0.000
Pt 3.341 3.341 3.341
```


No. 6
NaTlSiPt | PBE | relaxed

Summary:
Polymorph energy (0 for the lowest one) = 5.156 kcal/mol of atoms
Calculated volume = 19.7 A^3/atom
Density = 9.489 g cm⁻³
Crystal system = cubic

extended XYZ file:
```
16
Lattice="6.807 0.000 0.000 0.000 6.807 0.000 0.000 0.000 6.807" Properties=species:S:1:pos:R:3 pbc="T T T"
Na 0.000 0.000 0.000
Na 0.000 3.403 3.403
Na 3.403 0.000 3.403
Na 3.403 3.403 0.000
Tl 0.000 0.000 3.403
Tl 0.000 3.403 0.000
Tl 3.403 0.000 0.000
Tl 3.403 3.403 3.403
Si 1.702 1.702 5.105
Si 1.702 5.105 1.702
Si 5.105 1.702 1.702
Si 5.105 5.105 5.105
Pt 1.702 1.702 1.702
Pt 1.702 5.105 5.105
Pt 5.105 1.702 5.105
Pt 5.105 5.105 1.702
```


No. 7
NaSm3Pt8 | PBE | relaxed

Summary:
Calculated volume = 19.2 A^3/atom
Density = 14.638 g cm⁻³
Crystal system = trigonal

extended XYZ file:
```
12
Lattice="2.733 1.578 8.921 -2.733 1.578 8.921 0.000 -3.156 8.921" Properties=species:S:1:pos:R:3 pbc="T T T"
Na 0.000 0.000 0.000
Sm 0.000 0.000 9.798
Sm 0.000 0.000 13.228
Sm 0.000 0.000 23.512
Pt 0.000 0.000 4.933
Pt 0.000 -1.563 16.065
Pt -1.354 0.781 16.065
Pt -1.360 -0.785 20.567
Pt 0.000 0.000 18.309
Pt 1.354 0.781 16.065
Pt 1.360 -0.785 20.567
Pt 0.000 1.570 20.567
```


No. 8
Na2SnPt3 | PBE | relaxed

Summary:
Calculated volume = 19.4 A^3/atom
Density = 10.711 g cm⁻³
Crystal system = trigonal

extended XYZ file:
```
6
Lattice="2.784 1.607 4.332 -2.784 1.607 4.332 0.000 -3.214 4.332" Properties=species:S:1:pos:R:3 pbc="T T T"
Na 0.000 0.000 1.548
Na 0.000 0.000 11.447
Sn 0.000 0.000 6.498
Pt -1.392 -0.804 4.332
Pt -1.392 0.804 8.663
Pt 0.000 1.607 4.332
```


No. 9
NaSrSn4Pt2 | PBE | relaxed

Summary:
Calculated volume = 24.4 A^3/atom
Density = 8.295 g cm⁻³
Crystal system = orthorhombic

extended XYZ file:
```
16
Lattice="7.671 0.000 0.000 0.000 4.460 0.000 0.000 0.000 11.418" Properties=species:S:1:pos:R:3 pbc="T T T"
Na 0.000 0.000 0.000
Na 0.000 2.230 5.709
Sr 3.836 0.000 1.498
Sr 3.836 2.230 7.207
Sn 1.532 0.000 8.164
Sn 1.532 2.230 2.455
Sn 2.235 0.000 4.812
Sn 2.235 2.230 10.521
Sn 5.437 0.000 4.812
Sn 5.437 2.230 10.521
Sn 6.139 0.000 8.164
Sn 6.139 2.230 2.455
Pt 0.000 0.000 3.115
Pt 0.000 2.230 8.824
Pt 3.836 0.000 9.779
Pt 3.836 2.230 4.070
```


No. 10
NaTlSnPt | PBE | relaxed

Summary:
Polymorph energy (0 for the lowest one) = 4.989 kcal/mol of atoms
Calculated volume = 22.4 A^3/atom
Density = 10.040 g cm⁻³
Crystal system = cubic

extended XYZ file:
```
16
Lattice="7.101 0.000 0.000 0.000 7.101 0.000 0.000 0.000 7.101" Properties=species:S:1:pos:R:3 pbc="T T T"
Na 0.000 0.000 0.000
Na 0.000 3.550 3.550
Na 3.550 0.000 3.550
Na 3.550 3.550 0.000
Tl 0.000 0.000 3.550
Tl 0.000 3.550 0.000
Tl 3.550 0.000 0.000
Tl 3.550 3.550 3.550
Sn 1.775 1.775 5.326
Sn 1.775 5.326 1.775
Sn 5.326 1.775 1.775
Sn 5.326 5.326 5.326
Pt 1.775 1.775 1.775
Pt 1.775 5.326 5.326
Pt 5.326 1.775 5.326
Pt 5.326 5.326 1.775
```


No. 11
NaTlSnPt | PBE | relaxed

Summary:
Polymorph energy (0 for the lowest one) = 0.000 kcal/mol of atoms
Calculated volume = 21.1 A^3/atom
Density = 10.629 g cm⁻³
Crystal system = cubic

extended XYZ file:
```
16
Lattice="6.967 0.000 0.000 0.000 6.967 0.000 0.000 0.000 6.967" Properties=species:S:1:pos:R:3 pbc="T T T"
Na 0.000 0.000 0.000
Na 0.000 3.484 3.484
Na 3.484 0.000 3.484
Na 3.484 3.484 0.000
Tl 1.742 1.742 1.742
Tl 1.742 5.225 5.225
Tl 5.225 1.742 5.225
Tl 5.225 5.225 1.742
Sn 1.742 1.742 5.225
Sn 1.742 5.225 1.742
Sn 5.225 1.742 1.742
Sn 5.225 5.225 5.225
Pt 0.000 0.000 3.484
Pt 0.000 3.484 0.000
Pt 3.484 0.000 0.000
Pt 3.484 3.484 3.484
```


No. 12
NaSrPt4 | PBE | relaxed

Summary:
Calculated volume = 19.3 A^3/atom
Density = 12.790 g cm⁻³
Crystal system = cubic

extended XYZ file:
```
6
Lattice="0.000 3.867 3.867 3.867 0.000 3.867 3.867 3.867 0.000" Properties=species:S:1:pos:R:3 pbc="T T T"
Na 0.000 0.000 0.000
Sr 1.934 1.934 1.934
Pt 4.836 2.898 2.898
Pt 2.898 4.836 2.898
Pt 2.898 2.898 4.836
Pt 4.836 4.836 4.836
```


No. 13
NaSrPt | PBE | relaxed

Summary:
Polymorph energy (0 for the lowest one) = 0.000 kcal/mol of atoms
Calculated volume = 29.9 A^3/atom
Density = 5.660 g cm⁻³
Crystal system = cubic

extended XYZ file:
```
12
Lattice="7.106 0.000 0.000 0.000 7.106 0.000 0.000 0.000 7.106" Properties=species:S:1:pos:R:3 pbc="T T T"
Na 0.000 0.000 0.000
Na 0.000 3.553 3.553
Na 3.553 0.000 3.553
Na 3.553 3.553 0.000
Sr 0.000 0.000 3.553
Sr 0.000 3.553 0.000
Sr 3.553 0.000 0.000
Sr 3.553 3.553 3.553
Pt 1.776 1.776 1.776
Pt 1.776 5.329 5.329
Pt 5.329 1.776 5.329
Pt 5.329 5.329 1.776
```


No. 14
NaSrPt | PBE | relaxed

Summary:
Polymorph energy (0 for the lowest one) = 8.645 kcal/mol of atoms
Calculated volume = 29.8 A^3/atom
Density = 5.684 g cm⁻³
Crystal system = cubic

extended XYZ file:
```
12
Lattice="7.096 0.000 0.000 0.000 7.096 0.000 0.000 0.000 7.096" Properties=species:S:1:pos:R:3 pbc="T T T"
Na 0.000 0.000 0.000
Na 0.000 3.548 3.548
Na 3.548 0.000 3.548
Na 3.548 3.548 0.000
Sr 1.774 1.774 1.774
Sr 1.774 5.322 5.322
Sr 5.322 1.774 5.322
Sr 5.322 5.322 1.774
Pt 0.000 0.000 3.548
Pt 0.000 3.548 0.000
Pt 3.548 0.000 0.000
Pt 3.548 3.548 3.548
```


No. 15
NaSrTl4Pt2 | PBE | relaxed

Summary:
Calculated volume = 25.6 A^3/atom
Density = 10.703 g cm⁻³
Crystal system = orthorhombic

extended XYZ file:
```
16
Lattice="8.405 0.000 0.000 0.000 4.413 0.000 0.000 0.000 11.029" Properties=species:S:1:pos:R:3 pbc="T T T"
Na 0.000 0.000 0.000
Na 0.000 2.207 5.514
Sr 4.203 0.000 9.552
Sr 4.203 2.207 4.038
Tl 1.625 0.000 3.181
Tl 1.625 2.207 8.695
Tl 2.447 0.000 6.343
Tl 2.447 2.207 0.829
Tl 5.958 0.000 6.343
Tl 5.958 2.207 0.829
Tl 6.780 0.000 3.181
Tl 6.780 2.207 8.695
Pt 0.000 0.000 7.898
Pt 0.000 2.207 2.384
Pt 4.203 0.000 1.699
Pt 4.203 2.207 7.213
```


No. 16
NaTaPt | PBE | relaxed

Summary:
Polymorph energy (0 for the lowest one) = 0.000 kcal/mol of atoms
Calculated volume = 20.3 A^3/atom
Density = 10.855 g cm⁻³
Crystal system = cubic

extended XYZ file:
```
12
Lattice="6.250 0.000 0.000 0.000 6.250 0.000 0.000 0.000 6.250" Properties=species:S:1:pos:R:3 pbc="T T T"
Na 0.000 0.000 0.000
Na 0.000 3.125 3.125
Na 3.125 0.000 3.125
Na 3.125 3.125 0.000
Ta 0.000 0.000 3.125
Ta 0.000 3.125 0.000
Ta 3.125 0.000 0.000
Ta 3.125 3.125 3.125
Pt 1.563 1.563 1.563
Pt 1.563 4.688 4.688
Pt 4.688 1.563 4.688
Pt 4.688 4.688 1.563
```


No. 17
Na2Ta2Pt3 | PBE | relaxed

Summary:
Calculated volume = 18.2 A^3/atom
Density = 12.917 g cm⁻³
Crystal system = trigonal

extended XYZ file:
```
7
Lattice="2.246 1.297 7.308 -2.246 1.297 7.308 0.000 -2.593 7.308" Properties=species:S:1:pos:R:3 pbc="T T T"
Na 0.000 0.000 0.000
Na 0.000 0.000 10.722
Ta 0.000 0.000 5.320
Ta 0.000 0.000 16.312
Pt 0.000 0.000 8.052
Pt 0.000 0.000 13.546
Pt 0.000 0.000 19.021
```


No. 18
NaTaPt | PBE | relaxed

Summary:
Polymorph energy (0 for the lowest one) = 4.112 kcal/mol of atoms
Calculated volume = 18.6 A^3/atom
Density = 11.880 g cm⁻³
Crystal system = hexagonal

extended XYZ file:
```
3
Lattice="4.935 0.000 0.000 -2.468 4.274 0.000 0.000 0.000 2.644" Properties=species:S:1:pos:R:3 pbc="T T T"
Na 0.000 0.000 0.000
Ta 0.000 2.849 0.000
Pt 2.468 1.425 0.000
```


No. 19
NaTb3Pt8 | PBE | relaxed

Summary:
Calculated volume = 18.9 A^3/atom
Density = 15.085 g cm⁻³
Crystal system = trigonal

extended XYZ file:
```
12
Lattice="2.717 1.569 8.867 -2.717 1.569 8.867 0.000 -3.138 8.867" Properties=species:S:1:pos:R:3 pbc="T T T"
Na 0.000 0.000 0.000
Tb 0.000 0.000 9.740
Tb 0.000 0.000 13.142
Tb 0.000 0.000 23.367
Pt 0.000 0.000 4.905
Pt 0.000 -1.553 15.964
Pt -1.345 0.777 15.964
Pt -1.350 -0.780 20.452
Pt 0.000 0.000 18.202
Pt 1.345 0.777 15.964
Pt 1.350 -0.780 20.452
Pt 0.000 1.559 20.452
```


No. 20
NaTbTe3Pt | PBE | relaxed

Summary:
Calculated volume = 29.6 A^3/atom
Density = 7.114 g cm⁻³
Crystal system = orthorhombic

extended XYZ file:
```
24
Lattice="10.500 0.000 0.000 0.000 4.173 0.000 0.000 0.000 16.190" Properties=species:S:1:pos:R:3 pbc="T T T"
Na 2.428 1.043 0.182
Na 2.822 3.130 8.278
Na 7.679 1.043 7.913
Na 8.072 3.130 16.008
Tb 0.157 3.130 12.121
Tb 5.093 1.043 4.026
Tb 5.407 3.130 12.164
Tb 10.343 1.043 4.069
Te 0.696 3.130 1.936
Te 1.016 1.043 9.996
Te 2.473 1.043 5.650
Te 2.777 3.130 13.745
Te 4.234 3.130 1.901
Te 4.554 1.043 10.031
Te 5.947 3.130 6.159
Te 6.267 1.043 14.289
Te 7.723 1.043 2.445
Te 8.027 3.130 10.540
Te 9.484 3.130 6.194
Te 9.804 1.043 14.254
Pt 2.485 3.130 3.914
Pt 2.765 1.043 12.009
Pt 7.735 3.130 4.181
Pt 8.015 1.043 12.276
```


| no. | energy (eV per atom) |
| --- | --- |
| 1 | -4.35 |
| 2 | -5.19 |
| 3 | -4.48 |
| 4 | -3.52 |
| 5 | -3.74 |
| 6 | -3.52 |
| 7 | -6.28 |
| 8 | -4.59 |
| 9 | -4.49 |
| 10 | -3.39 |
| 11 | -3.60 |
| 12 | -5.21 |
| 13 | -3.40 |
| 14 | -3.02 |
| 15 | -3.40 |
| 16 | -6.02 |
| 17 | -6.38 |
| 18 | -5.84 |
| 19 | -6.27 |
| 20 | -4.45 |